Density functional theory data (PBE) for crystalline UAgHg at its relaxed geometry.

abc: 4.979 4.979 4.979
angles: 60.00 60.00 60.00
Each line ends with the local moment (μB).
Fractional coordinates of all 3 atoms:
U1 0.750 0.750 0.750  2.75
Hg1 0.000 0.000 0.000  0.07
Ag1 0.500 0.500 0.500  0.02

## Properties
The crystal system is cubic. Its space-group type is F-43m (216). For the energy of formation from the pure elements, the calculation gives 0.828 eV/atom.

=====

Density functional theory data (PBE) for crystalline MgZrCuB at its relaxed geometry.

abc: 4.351 4.351 4.351
angles: 60.00 60.00 60.00
Fractional coordinates of all 4 atoms:
Mg1 0.250 0.250 0.250
Cu1 0.750 0.750 0.750
B1 0.000 0.000 0.000
Zr1 0.500 0.500 0.500

## Properties
As for the energy above the most stable polymorph in this dataset: 21.0 kJ per mole of atoms. The crystal system is cubic. Its space-group type is F-43m (216).

=====

Density functional theory data (PBE) for crystalline ErTmNi2B2P2 at its relaxed geometry.

abc: 3.842 3.842 7.841
angles: 90.00 90.00 90.00
Fractional coordinates of all 8 atoms:
B1 0.000 0.000 0.402
Ni1 0.500 0.000 0.500
P1 0.000 0.000 0.153
B2 0.500 0.500 0.599
Er1 0.000 0.000 0.792
Tm1 0.500 0.500 0.207
P2 0.500 0.500 0.848
Ni2 0.000 0.500 0.500

## Properties
The crystal system is tetragonal. Its space-group type is P4mm (99).

=====

Density functional theory data (PBE) for crystalline LaEr2Te3 at its relaxed geometry.

abc: 4.362 4.362 11.001
angles: 90.00 90.00 120.00
Fractional coordinates of all 6 atoms:
Te1 0.000 0.000 0.500
La1 0.000 0.000 0.000
Er1 0.667 0.333 0.339
Te2 0.667 0.333 0.815
Er2 0.333 0.667 0.661
Te3 0.333 0.667 0.185

## Properties
The crystal system is trigonal. Its space-group type is P-3m1 (164).

=====

Density functional theory data (PBE) for crystalline RbLiMoS3 at its relaxed geometry.

abc: 7.477 7.477 9.516
angles: 90.00 90.00 150.69
Each line ends with the local moment (μB).
Fractional coordinates of all 12 atoms:
S1 0.391 0.609 0.460  0.01
Rb1 0.747 0.253 0.250  0.00
Li1 0.468 0.532 0.250  -0.01
S2 0.609 0.391 0.540  0.01
Mo1 0.000 0.000 0.500  1.61
S3 0.391 0.609 0.040  0.01
Mo2 0.000 0.000 0.000  1.60
Rb2 0.253 0.747 0.750  0.00
S4 0.943 0.057 0.750  0.00
Li2 0.532 0.468 0.750  -0.01
S5 0.609 0.391 0.960  0.01
S6 0.057 0.943 0.250  0.00

## Properties
The crystal system is orthorhombic. Its space-group type is Cmcm (63).

=====

Density functional theory data (PBE) for crystalline CsLuCdS3 at its relaxed geometry.

abc: 9.195 4.091 10.171
angles: 90.00 111.45 90.00
Fractional coordinates of all 12 atoms:
S1 0.022 0.250 0.856
S2 0.718 0.750 0.555
Cs1 0.721 0.250 0.240
S3 0.636 0.250 0.873
S4 0.364 0.750 0.127
S5 0.282 0.250 0.445
Cs2 0.279 0.750 0.760
Cd1 0.415 0.750 0.384
S6 0.978 0.750 0.144
Lu1 0.837 0.750 0.870
Cd2 0.585 0.250 0.616
Lu2 0.163 0.250 0.130

## Properties
The crystal system is monoclinic. Its space-group type is P2_1/m (11).

=====

Density functional theory data (PBE) for crystalline RbLuNiSe3 at its relaxed geometry.

abc: 9.309 4.030 9.797
angles: 90.00 110.82 90.00
Each line ends with the local moment (μB).
Fractional coordinates of all 12 atoms:
Se1 0.118 0.250 0.853  0.10
Se2 0.187 0.750 0.546  0.16
Se3 0.813 0.250 0.454  0.16
Lu1 0.330 0.750 0.861  0.02
Rb1 0.210 0.250 0.243  0.00
Se4 0.532 0.250 0.837  0.02
Se5 0.882 0.750 0.147  0.10
Ni1 0.923 0.750 0.404  0.78
Se6 0.468 0.750 0.163  0.02
Rb2 0.790 0.750 0.757  0.00
Ni2 0.077 0.250 0.596  0.78
Lu2 0.670 0.250 0.139  0.02

## Properties
The crystal system is monoclinic. Its space-group type is P2_1/m (11).

=====

Density functional theory data (PBE) for crystalline LiTmFeSe3 at its relaxed geometry.

abc: 10.598 6.751 6.751
angles: 146.20 90.00 90.00
Each line ends with the local moment (μB).
Fractional coordinates of all 12 atoms:
Fe1 0.250 0.478 0.522  3.18
Se1 0.750 0.907 0.093  0.15
Se2 0.076 0.357 0.643  0.12
Li1 0.250 0.777 0.223  0.00
Fe2 0.750 0.522 0.478  3.19
Li2 0.750 0.223 0.777  0.00
Se3 0.424 0.357 0.643  0.12
Se4 0.576 0.643 0.357  0.12
Tm1 0.500 0.000 0.000  0.02
Se5 0.250 0.093 0.907  0.15
Tm2 0.000 0.000 0.000  0.02
Se6 0.924 0.643 0.357  0.12

## Properties
The crystal system is orthorhombic. Its space-group type is Cmcm (63).

=====

no.,final energy (eV per atom),magnetic moment (μB per cell)
1,-3.98,3.27
2,-4.46,0.00
3,-6.28,0.01
4,-5.26,0.01
5,-5.17,3.79
6,-4.51,0.00
7,-4.77,2.59
8,-5.26,7.99